1.
First-principles (GGA-PBE) data for a relaxed structure of Cr2FeAuC, as listed in the Alexandria database.

Cell lengths 3.879, 4.205, 3.879 Å; angles 90.00, 90.00, 90.00 degrees
Last column: magnetic moment on the atom in μB.
Element x y z (fractional)
1 Cr 0.000 0.000 0.500  0.45
2 Cr 0.500 0.000 0.000  0.10
3 C 0.000 0.000 0.000  0.05
4 Au 0.000 0.500 0.000  0.07
5 Fe 0.500 0.500 0.500  2.97

SG: P4/mmm
Energy of formation from the pure elements in eV/f.u.: 2.80

2.
First-principles (GGA-PBE) data for a relaxed structure of RbZn2Cd2, as listed in the Alexandria database.

Cell lengths 5.033, 5.033, 6.555 Å; angles 67.43, 67.43, 90.00 degrees
Element x y z (fractional)
1 Zn 0.750 0.250 0.500
2 Zn 0.250 0.750 0.500
3 Rb 0.000 0.000 0.000
4 Cd 0.364 0.364 0.272
5 Cd 0.636 0.636 0.728

SG: I4/mmm
Energy of formation from the pure elements in eV/f.u.: 0.23
Energy relative to the lowest polymorph listed for this composition in meV per atom: 17

3.
First-principles (GGA-PBE) data for a relaxed structure of Hf3VPd12, as listed in the Alexandria database.

Cell lengths 3.984, 3.984, 15.978 Å; angles 90.00, 90.00, 90.00 degrees
Last column: magnetic moment on the atom in μB.
Element x y z (fractional)
1 Hf 0.000 0.000 0.245  -0.01
2 Hf 0.000 0.000 0.500  0.00
3 Hf 0.000 0.000 0.755  -0.01
4 V 0.000 0.000 0.000  1.79
5 Pd 0.500 0.500 0.000  -0.05
6 Pd 0.500 0.500 0.249  -0.01
7 Pd 0.500 0.500 0.500  0.00
8 Pd 0.500 0.500 0.751  -0.01
9 Pd 0.500 0.000 0.122  -0.01
10 Pd 0.500 0.000 0.374  0.00
11 Pd 0.500 0.000 0.626  0.00
12 Pd 0.500 0.000 0.878  -0.01
13 Pd 0.000 0.500 0.122  -0.01
14 Pd 0.000 0.500 0.374  0.00
15 Pd 0.000 0.500 0.626  0.00
16 Pd 0.000 0.500 0.878  -0.01

SG: P4/mmm
Energy of formation from the pure elements in eV/f.u.: -11.36

4.
First-principles (GGA-PBE) data for a relaxed structure of Rb2NdBi2O6, as listed in the Alexandria database.

Cell lengths 6.635, 6.281, 7.718 Å; angles 112.28, 90.00, 121.88 degrees
Last column: magnetic moment on the atom in μB.
Element x y z (fractional)
1 Rb 0.699 0.398 0.146  0.00
2 Rb 0.301 0.602 0.854  0.00
3 Nd 0.500 0.000 0.500  0.01
4 Bi 0.933 0.865 0.758  0.06
5 Bi 0.067 0.135 0.242  0.06
6 O 0.733 0.466 0.532  0.15
7 O 0.199 0.902 0.255  0.07
8 O 0.296 0.098 0.745  0.07
9 O 0.801 0.098 0.745  0.07
10 O 0.704 0.902 0.255  0.07
11 O 0.267 0.534 0.468  0.15

SG: C2/m

5.
First-principles (GGA-PBE) data for a relaxed structure of KTb2AgS4, as listed in the Alexandria database.

Cell lengths 4.058, 7.077, 14.241 Å; angles 90.00, 90.00, 106.66 degrees
Element x y z (fractional)
1 K 0.116 0.233 0.750
2 K 0.884 0.767 0.250
3 Tb 0.368 0.736 0.565
4 Tb 0.632 0.264 0.065
5 Tb 0.632 0.264 0.435
6 Tb 0.368 0.736 0.935
7 Ag 0.837 0.673 0.750
8 Ag 0.163 0.327 0.250
9 S 0.264 0.528 0.102
10 S 0.736 0.472 0.602
11 S 0.736 0.472 0.898
12 S 0.264 0.528 0.398
13 S 0.000 0.000 0.500
14 S 0.000 0.000 0.000
15 S 0.444 0.889 0.750
16 S 0.556 0.111 0.250

SG: Cmcm

6.
First-principles (GGA-PBE) data for a relaxed structure of BeCrTc2, as listed in the Alexandria database.

Cell lengths 4.180, 4.180, 4.180 Å; angles 60.00, 60.00, 60.00 degrees
Last column: magnetic moment on the atom in μB.
Element x y z (fractional)
1 Cr 0.750 0.750 0.750  2.12
2 Tc 0.000 0.000 0.000  -0.35
3 Tc 0.250 0.250 0.250  0.28
4 Be 0.500 0.500 0.500  -0.02

SG: F-43m
Energy of formation from the pure elements in eV/f.u.: 0.38

7.
First-principles (GGA-PBE) data for a relaxed structure of La3YHo6Th2, as listed in the Alexandria database.

Cell lengths 6.226, 6.226, 11.827 Å; angles 95.04, 95.04, 119.98 degrees
Element x y z (fractional)
1 La 0.166 0.834 0.500
2 La 0.834 0.166 0.500
3 La 0.500 0.500 0.500
4 Y 0.000 0.000 0.000
5 Ho 0.919 0.581 0.756
6 Ho 0.744 0.744 0.244
7 Ho 0.081 0.419 0.244
8 Ho 0.581 0.919 0.756
9 Ho 0.256 0.256 0.756
10 Ho 0.419 0.081 0.244
11 Th 0.333 0.667 0.000
12 Th 0.667 0.333 0.000

SG: C2/m
Energy of formation from the pure elements in eV/f.u.: 0.24

8.
First-principles (GGA-PBE) data for a relaxed structure of LaCdCl2, as listed in the Alexandria database.

Cell lengths 5.092, 5.092, 10.189 Å; angles 75.53, 75.53, 90.00 degrees
Element x y z (fractional)
1 Cl 0.677 0.125 0.250
2 Cl 0.073 0.625 0.250
3 Cl 0.375 0.323 0.750
4 Cl 0.875 0.927 0.750
5 Cd 0.500 0.500 0.000
6 Cd 0.250 0.750 0.500
7 La 0.000 0.000 0.000
8 La 0.750 0.250 0.500

SG: I-42d
Energy relative to the lowest polymorph listed for this composition in meV per atom: 244

9.
First-principles (GGA-PBE) data for a relaxed structure of LiTb4Pm3Se8, as listed in the Alexandria database.

Cell lengths 8.249, 8.251, 8.249 Å; angles 119.99, 120.00, 90.00 degrees
Element x y z (fractional)
1 Li 0.000 0.500 0.000
2 Tb 0.500 0.000 0.000
3 Tb 0.500 0.000 0.500
4 Tb 0.000 0.000 0.000
5 Tb 0.000 0.000 0.500
6 Pm 0.500 0.500 0.000
7 Pm 0.500 0.500 0.500
8 Pm 0.000 0.500 0.500
9 Se 0.246 0.752 0.006
10 Se 0.246 0.752 0.491
11 Se 0.247 0.241 0.494
12 Se 0.760 0.752 0.006
13 Se 0.240 0.248 0.994
14 Se 0.753 0.759 0.506
15 Se 0.754 0.248 0.509
16 Se 0.754 0.248 0.994

SG: R-3m

10.
First-principles (GGA-PBE) data for a relaxed structure of BaCaBi4O8, as listed in the Alexandria database.

Cell lengths 7.159, 7.159, 7.246 Å; angles 60.40, 60.40, 60.00 degrees
Element x y z (fractional)
1 Ba 0.373 0.373 0.881
2 Ca 0.000 0.000 0.001
3 Bi 0.622 0.622 0.133
4 Bi 0.000 0.493 0.508
5 Bi 0.493 0.000 0.508
6 Bi 0.000 0.000 0.508
7 O 0.235 0.810 0.720
8 O 0.810 0.235 0.720
9 O 0.235 0.235 0.720
10 O 0.229 0.229 0.314
11 O 0.761 0.233 0.245
12 O 0.233 0.761 0.245
13 O 0.761 0.761 0.245
14 O 0.749 0.749 0.754

SG: R3m
Energy relative to the lowest polymorph listed for this composition in meV per atom: 0

11.
First-principles (GGA-PBE) data for a relaxed structure of Li3Nd2NpSe6, as listed in the Alexandria database.

Cell lengths 7.248, 7.248, 6.942 Å; angles 100.02, 100.02, 119.99 degrees
Last column: magnetic moment on the atom in μB.
Element x y z (fractional)
1 Li 0.165 0.835 0.500  0.00
2 Li 0.835 0.165 0.500  0.00
3 Li 0.500 0.500 0.500  0.00
4 Nd 0.333 0.667 0.000  0.04
5 Nd 0.667 0.333 0.000  0.04
6 Np 0.000 0.000 0.000  3.82
7 Se 0.913 0.585 0.741  -0.02
8 Se 0.757 0.757 0.257  -0.02
9 Se 0.087 0.415 0.259  -0.02
10 Se 0.585 0.913 0.741  -0.02
11 Se 0.243 0.243 0.743  -0.02
12 Se 0.415 0.087 0.259  -0.02

SG: C2/m

12.
First-principles (GGA-PBE) data for a relaxed structure of Li12Cd6Pt, as listed in the Alexandria database.

Cell lengths 7.111, 7.111, 7.111 Å; angles 91.13, 91.13, 91.13 degrees
Element x y z (fractional)
1 Li 0.802 0.529 0.440
2 Li 0.440 0.802 0.529
3 Li 0.529 0.440 0.802
4 Li 0.198 0.471 0.560
5 Li 0.560 0.198 0.471
6 Li 0.471 0.560 0.198
7 Li 0.037 0.144 0.361
8 Li 0.856 0.639 0.963
9 Li 0.639 0.963 0.856
10 Li 0.963 0.856 0.639
11 Li 0.144 0.361 0.037
12 Li 0.361 0.037 0.144
13 Cd 0.723 0.884 0.267
14 Cd 0.733 0.277 0.116
15 Cd 0.116 0.733 0.277
16 Cd 0.277 0.116 0.733
17 Cd 0.267 0.723 0.884
18 Cd 0.884 0.267 0.723
19 Pt 0.000 0.000 0.000

SG: R-3
Energy of formation from the pure elements in eV/f.u.: -4.38

no.,energy (eV/atom)
1,-7.481
2,-1.024
3,-7.041
4,-5.598
5,-5.308
6,-8.425
7,-5.276
8,-3.572
9,-5.688
10,-5.876
11,-5.588
12,-2.046